5
Lattice="-2.0777 2.0777 10.1925 2.0777 -2.0777 10.1925 2.0777 2.0777 -10.1925" Properties=species:S:1:pos:R:3 comment="Na2La2In | Alexandria via LeMat-Bulk | PBE | optimized geometry" relative_energy_kj_per_mol_atoms=0.0 formation_energy_ev_per_atom=0.04 pbc="T T T"
Na 2.0777 0.0000 5.0963
Na 0.0000 2.0777 5.0963
La 0.0000 0.0000 1.7233
La 0.0000 0.0000 18.6617
In 0.0000 0.0000 10.1925